Entry 1:
Entry from Alexandria via LeMat-Bulk: a relaxed Ca2TcHg crystal (GGA-PBE).

Computed properties:
* energy of formation: 0.31 eV per atom
* N(E_F): 0.96 states/eV per atom

The structure in POSCAR format:
```
Ca2TcHg
1.0
3.624 0.000 0.000
0.000 3.624 0.000
0.000 0.000 8.083
Ca Tc Hg
2 1 1
Direct
0.000 0.000 0.000 Ca
0.500 0.500 0.393 Ca
0.500 0.500 0.767 Tc
0.000 0.000 0.624 Hg
```

=====

Entry 2:
Entry from Alexandria via LeMat-Bulk: a relaxed CaTcHg4 crystal (GGA-PBE).

Computed properties:
* energy of formation: 0.37 eV per atom
* N(E_F): 0.77 states/eV per atom

The structure in POSCAR format:
```
CaTcHg4
1.0
0.000 4.106 4.106
4.106 0.000 4.106
4.106 4.106 0.000
Ca Tc Hg
1 1 4
Direct
0.000 0.000 0.000 Ca
0.250 0.250 0.250 Tc
0.127 0.624 0.624 Hg
0.624 0.127 0.624 Hg
0.624 0.624 0.127 Hg
0.624 0.624 0.624 Hg
```

=====

Entry 3:
Entry from Alexandria via LeMat-Bulk: a relaxed Ca2TcHg crystal (GGA-PBE).

Computed properties:
* energy of formation: 0.32 eV per atom
* N(E_F): 1.18 states/eV per atom

The structure in POSCAR format:
```
Ca2TcHg
1.0
4.759 0.000 0.000
0.000 4.759 0.000
0.000 0.000 4.207
Ca Tc Hg
2 1 1
Direct
0.000 0.500 0.000 Ca
0.500 0.000 0.000 Ca
0.000 0.000 0.500 Tc
0.500 0.500 0.500 Hg
```

=====

Entry 4:
Entry from Alexandria via LeMat-Bulk: a relaxed Ca2TcHg crystal (GGA-PBE).

Computed properties:
* energy of formation: 0.28 eV per atom
* N(E_F): 1.20 states/eV per atom

The structure in POSCAR format:
```
Ca2TcHg
1.0
3.748 -3.784 0.000
3.748 3.784 0.000
0.000 0.000 3.407
Ca Tc Hg
2 1 1
Direct
0.000 0.500 0.000 Ca
0.500 0.000 0.000 Ca
0.000 0.000 0.500 Tc
0.500 0.500 0.500 Hg
```

=====

Entry 5:
Entry from Alexandria via LeMat-Bulk: a relaxed Ca2TcHg crystal (GGA-PBE).

Computed properties:
* energy of formation: 0.24 eV per atom
* N(E_F): 0.90 states/eV per atom

The structure in POSCAR format:
```
Ca2TcHg
1.0
5.727 -1.596 0.000
5.727 1.596 0.000
-1.515 0.000 5.267
Ca Tc Hg
2 1 1
Direct
0.000 0.000 0.000 Ca
0.196 0.196 0.627 Ca
0.448 0.448 0.480 Tc
0.760 0.760 0.170 Hg
```

=====

Entry 6:
Entry from Alexandria via LeMat-Bulk: a relaxed Ca2TcHg crystal (GGA-PBE).

Computed properties:
* energy of formation: 0.40 eV per atom
* N(E_F): 1.45 states/eV per atom

The structure in POSCAR format:
```
Ca2TcHg
1.0
0.000 3.582 3.582
3.582 0.000 3.582
3.582 3.582 0.000
Ca Tc Hg
2 1 1
Direct
0.000 0.000 0.000 Ca
0.250 0.250 0.250 Ca
0.750 0.750 0.750 Tc
0.500 0.500 0.500 Hg
```

=====

Entry 7:
Entry from Alexandria via LeMat-Bulk: a relaxed Ca3TcHg crystal (GGA-PBE).

Computed properties:
* distance to the lowest polymorph of the same formula: 0.000 eV/atom
* energy of formation: 0.38 eV per atom
* N(E_F): 0.55 states/eV per atom

The structure in POSCAR format:
```
Ca3TcHg
1.0
5.447 0.000 0.000
0.000 5.447 0.000
0.000 0.000 5.447
Ca Tc Hg
3 1 1
Direct
0.000 0.000 0.500 Ca
0.000 0.500 0.000 Ca
0.500 0.000 0.000 Ca
0.000 0.000 0.000 Tc
0.500 0.500 0.500 Hg
```

=====

Entry 8:
Entry from Alexandria via LeMat-Bulk: a relaxed Ca2TcHg crystal (GGA-PBE).

Computed properties:
* energy of formation: 0.22 eV per atom
* N(E_F): 0.88 states/eV per atom

The structure in POSCAR format:
```
Ca2TcHg
1.0
3.419 0.000 0.000
0.000 3.461 0.000
0.000 0.000 8.259
Ca Tc Hg
2 1 1
Direct
0.000 0.000 0.228 Ca
0.000 0.000 0.772 Ca
0.500 0.500 0.000 Tc
0.500 0.500 0.500 Hg
```

=====

Entry 9:
Entry from Alexandria via LeMat-Bulk: a relaxed CaTcHg3 crystal (GGA-PBE).

Computed properties:
* distance to the lowest polymorph of the same formula: 0.000 eV/atom
* energy of formation: 0.32 eV per atom
* N(E_F): 0.61 states/eV per atom

The structure in POSCAR format:
```
CaTcHg3
1.0
5.231 0.000 0.000
0.000 5.231 0.000
0.000 0.000 5.231
Ca Tc Hg
1 1 3
Direct
0.000 0.000 0.000 Ca
0.500 0.500 0.500 Tc
0.000 0.500 0.500 Hg
0.500 0.000 0.500 Hg
0.500 0.500 0.000 Hg
```

=====

Entry 10:
Entry from Alexandria via LeMat-Bulk: a relaxed Ca3TcHg crystal (GGA-PBE).

Computed properties:
* distance to the lowest polymorph of the same formula: 0.390 eV/atom
* energy of formation: 0.77 eV per atom
* N(E_F): 1.78 states/eV per atom

The structure in POSCAR format:
```
Ca3TcHg
1.0
5.717 0.000 0.000
0.000 5.717 0.000
0.000 0.000 5.717
Ca Tc Hg
3 1 1
Direct
0.000 0.000 0.500 Ca
0.000 0.500 0.000 Ca
0.500 0.000 0.000 Ca
0.500 0.500 0.500 Tc
0.000 0.000 0.000 Hg
```

=====

Entry 11:
Entry from Alexandria via LeMat-Bulk: a relaxed Ca2TcHg crystal (GGA-PBE).

Computed properties:
* energy of formation: 0.26 eV per atom
* N(E_F): 0.92 states/eV per atom

The structure in POSCAR format:
```
Ca2TcHg
1.0
-1.743 2.578 5.500
1.743 -2.578 5.500
1.743 2.578 -5.500
Ca Tc Hg
2 1 1
Direct
0.000 0.000 0.000 Ca
0.705 0.205 0.500 Ca
0.462 0.462 0.000 Tc
0.264 0.764 0.500 Hg
```

=====

Entry 12:
Entry from Alexandria via LeMat-Bulk: a relaxed Ca2TcHg crystal (GGA-PBE).

Computed properties:
* energy of formation: 0.69 eV per atom
* N(E_F): 0.77 states/eV per atom

The structure in POSCAR format:
```
Ca2TcHg
1.0
-2.204 2.204 10.130
2.204 -2.204 10.130
2.204 2.204 -10.130
Ca Tc Hg
4 2 2
Direct
0.113 0.625 0.988 Ca
0.375 0.363 0.488 Ca
0.637 0.125 0.012 Ca
0.875 0.887 0.512 Ca
0.000 0.000 0.000 Tc
0.750 0.250 0.500 Tc
0.250 0.750 0.500 Hg
0.500 0.500 0.000 Hg
```

=====

Entry 13:
Entry from Alexandria via LeMat-Bulk: a relaxed Ca2TcHg crystal (GGA-PBE).

Computed properties:
* energy of formation: 0.39 eV per atom
* N(E_F): 1.00 states/eV per atom

The structure in POSCAR format:
```
Ca2TcHg
1.0
1.691 0.976 9.989
-1.691 0.976 9.989
0.000 -1.952 9.989
Ca Tc Hg
2 1 1
Direct
0.241 0.241 0.241 Ca
0.759 0.759 0.759 Ca
0.500 0.500 0.500 Tc
0.000 0.000 0.000 Hg
```

=====

Entry 14:
Entry from Alexandria via LeMat-Bulk: a relaxed Ca2TcHg crystal (GGA-PBE).

Computed properties:
* energy of formation: 0.30 eV per atom
* N(E_F): 0.52 states/eV per atom

The structure in POSCAR format:
```
Ca2TcHg
1.0
-2.367 2.367 4.196
2.367 -2.367 4.196
2.367 2.367 -4.196
Ca Tc Hg
2 1 1
Direct
0.250 0.750 0.500 Ca
0.750 0.250 0.500 Ca
0.000 0.000 0.000 Tc
0.500 0.500 0.000 Hg
```

=====

Entry 15:
Entry from Alexandria via LeMat-Bulk: a relaxed Ca2TcHg crystal (GGA-PBE).

Computed properties:
* energy of formation: 0.34 eV per atom
* N(E_F): 1.28 states/eV per atom

The structure in POSCAR format:
```
Ca2TcHg
1.0
-2.237 2.237 4.624
2.237 -2.237 4.624
2.237 2.237 -4.624
Ca Tc Hg
2 1 1
Direct
0.000 0.000 0.000 Ca
0.750 0.250 0.500 Ca
0.250 0.750 0.500 Tc
0.500 0.500 0.000 Hg
```

=====

Entry 16:
Entry from Alexandria via LeMat-Bulk: a relaxed CaTlTcHg2 crystal (GGA-PBE).

Computed properties:
* energy of formation: 1.24 eV per atom
* N(E_F): 0.89 states/eV per atom

The structure in POSCAR format:
```
CaTlTcHg2
1.0
5.609 0.000 0.000
0.000 5.609 0.000
0.000 0.000 5.912
Ca Tl Tc Hg
1 1 1 2
Direct
0.000 0.000 0.000 Ca
0.000 0.000 0.500 Tl
0.500 0.500 0.500 Tc
0.000 0.500 0.000 Hg
0.500 0.000 0.000 Hg
```

=====

Entry 17:
Entry from Alexandria via LeMat-Bulk: a relaxed Ca2TlTcHg crystal (GGA-PBE).

Computed properties:
* energy of formation: 0.43 eV per atom
* N(E_F): 0.84 states/eV per atom

The structure in POSCAR format:
```
Ca2TlTcHg
1.0
5.443 0.000 0.000
0.000 5.443 0.000
0.000 0.000 5.306
Ca Tl Tc Hg
2 1 1 1
Direct
0.000 0.500 0.000 Ca
0.500 0.000 0.000 Ca
0.000 0.000 0.500 Tl
0.500 0.500 0.000 Tc
0.500 0.500 0.500 Hg
```

=====

Entry 18:
Entry from Alexandria via LeMat-Bulk: a relaxed CaHgTe2 crystal (GGA-PBE).

Computed properties:
* E_form (uncorrected): -168 kJ/mol of formula units
* N(E_F): 0.28 states/eV per atom

The structure in POSCAR format:
```
CaHgTe2
1.0
3.359 0.000 0.000
0.000 3.687 0.000
0.000 0.000 10.116
Ca Hg Te
1 1 2
Direct
0.000 0.000 0.000 Ca
0.500 0.500 0.209 Hg
0.000 0.000 0.420 Te
0.500 0.500 0.796 Te
```

=====

Entry 19:
Entry from Alexandria via LeMat-Bulk: a relaxed CaHgTe crystal (GGA-PBE).

Computed properties:
* distance to the lowest polymorph of the same formula: 0.086 eV/atom
* E_form (uncorrected): -270 kJ/mol of formula units

The structure in POSCAR format:
```
CaHgTe
1.0
4.614 -2.694 0.000
4.614 2.694 0.000
-3.124 0.000 8.588
Ca Hg Te
2 2 2
Direct
0.226 0.226 0.172 Ca
0.774 0.774 0.828 Ca
0.352 0.352 0.559 Hg
0.648 0.648 0.441 Hg
0.102 0.102 0.806 Te
0.898 0.898 0.194 Te
```

=====

Entry 20:
Entry from Alexandria via LeMat-Bulk: a relaxed CaHgTe crystal (GGA-PBE).

Computed properties:
* distance to the lowest polymorph of the same formula: 0.000 eV/atom
* E_form (uncorrected): -295 kJ/mol of formula units
* N(E_F): 0.03 states/eV per atom

The structure in POSCAR format:
```
CaHgTe
1.0
4.478 0.000 0.000
0.000 4.478 0.000
0.000 0.000 9.822
Ca Hg Te
2 2 2
Direct
0.250 0.250 0.154 Ca
0.750 0.750 0.846 Ca
0.250 0.250 0.489 Hg
0.750 0.750 0.511 Hg
0.250 0.250 0.830 Te
0.750 0.750 0.170 Te
```